Material: AcCeMn2O8
Method: DFT, PBE with a Hubbard U
State: relaxed

Computed properties:
space-group type = I-4, No. 82
volume = 164.9 Å³ per cell
E_tot = -7.45 eV per atom
D(E_F) = 0.42 states/eV per atom

Cell: 5.2349 5.2349 7.0638 Å, 111.75 111.75 90.00°
Closest atoms and distances in Å follow each position.
Sites, in units of the cell vectors:
Ac 0.7500 0.2500 0.5000  8 O 2.54-2.65
Ce 0.0000 0.0000 0.0000  8 O 2.28-2.56
Mn 0.5000 0.5000 0.0000  4 O 1.84
Mn 0.2500 0.7500 0.5000  4 O 1.72
O 0.7257 0.8390 0.1318  1 Mn 1.84
O 0.4061 0.2928 0.1318  1 Mn 1.84
O 0.5738 0.7000 0.6541  1 Mn 1.72
O 0.0803 0.9542 0.6541  1 Mn 1.72
O 0.0458 0.4262 0.3459  1 Mn 1.72
O 0.3000 0.9197 0.3459  1 Mn 1.72
O 0.1610 0.5939 0.8682  1 Mn 1.84
O 0.7072 0.2743 0.8682  1 Mn 1.84